(1)
The following is a DFT calculation (PBE) of a geometry-optimized InGeI2O structure.

The space group is P4/mmm (123). For the raw total energy, the calculation gives -0.118 Ha/atom. The raw formation energy comes out at -115 meV per atom. The density comes out at 5.23 g/cm³. The energy above the most stable polymorph in this dataset is 30.2 kJ per mole of atoms. The calculation puts the size of the total moment at 0.110 μB/atom.

abc: 6.0611 6.0611 3.9519
angles: 90.00 90.00 90.00
Fractional coordinates of all 5 atoms:
1 In 0.0000 0.0000 0.0000
2 Ge 0.5000 0.5000 0.5000
3 I 0.0000 0.5000 0.0000
4 I 0.5000 0.0000 0.0000
5 O 0.0000 0.0000 0.5000


(2)
The following is a DFT calculation (PBE) of a geometry-optimized MnV6Mo2 structure.

The space group is C2/m (12). For the raw total energy, the calculation gives -0.346 Ha/atom. The density comes out at 7.37 g/cm³. The energy above the most stable polymorph in this dataset is 17.3 kJ per mole of atoms. The value obtained for the formation energy is 79 meV/atom. The calculation puts the size of the total moment at 0.000 μB/atom.

abc: 7.4461 7.4461 2.5509
angles: 93.07 93.07 61.90
Fractional coordinates of all 9 atoms:
1 Mn 0.0000 0.0000 0.0000
2 V 0.0057 0.6707 0.6913
3 V 0.3213 0.6787 0.5000
4 V 0.3293 0.9943 0.3087
5 V 0.6707 0.0057 0.6913
6 V 0.6787 0.3213 0.5000
7 V 0.9943 0.3293 0.3087
8 Mo 0.3311 0.3311 0.0058
9 Mo 0.6689 0.6689 0.9942